# 1
The following is a DFT calculation (PBE) of crystalline In5Ag12Au2 at its relaxed geometry.

Results
* ΔE_f: -1.2 meV/atom
* total DFT energy (no corrections): -2.868 eV per atom

Unit cell a=7.7898 b=7.7898 c=7.1214 alpha=90.80 beta=90.80 gamma=60.60
Fractional coordinates of all 19 atoms:
In  0.0000  0.0000  0.0000
In  0.2411  0.2411  0.9198
In  0.3121  0.3121  0.4779
In  0.6879  0.6879  0.5221
In  0.7589  0.7589  0.0802
Ag  0.0266  0.6583  0.7427
Ag  0.0986  0.0986  0.6024
Ag  0.1765  0.5838  0.1499
Ag  0.3417  0.9734  0.2573
Ag  0.4162  0.8235  0.8501
Ag  0.4446  0.4446  0.8292
Ag  0.5554  0.5554  0.1708
Ag  0.5838  0.1765  0.1499
Ag  0.6583  0.0266  0.7427
Ag  0.8235  0.4162  0.8501
Ag  0.9014  0.9014  0.3976
Ag  0.9734  0.3417  0.2573
Au  0.3072  0.6928  0.5000
Au  0.6928  0.3072  0.5000

# 2
The following is a DFT calculation (PBE) of crystalline In2AgAu at its relaxed geometry.

Results
* ΔE_f: -106.6 meV/atom
* total DFT energy (no corrections): -3.008 eV per atom

Unit cell a=3.6150 b=4.4132 c=5.6913 alpha=90.00 beta=106.27 gamma=90.00
Fractional coordinates of all 4 atoms:
In  0.0000  0.0000  0.0000
In  0.2934  0.5000  0.6023
Ag  0.5553  0.5000  0.1297
Au  0.7390  0.0000  0.4710

# 3
The following is a DFT calculation (PBE) of crystalline InAg9Au4 at its relaxed geometry.

Results
* ΔE_f: 66.9 meV/atom
* total DFT energy (no corrections): -2.898 eV per atom

Unit cell a=8.1892 b=8.1892 c=9.3921 alpha=90.00 beta=90.00 gamma=120.00
Fractional coordinates of all 28 atoms:
In  0.3333  0.6667  0.2500
In  0.6667  0.3333  0.7500
Ag  0.0814  0.5407  0.7500
Ag  0.2106  0.4212  0.0159
Ag  0.2106  0.4212  0.4841
Ag  0.2106  0.7894  0.0159
Ag  0.2106  0.7894  0.4841
Ag  0.4212  0.2106  0.5159
Ag  0.4212  0.2106  0.9841
Ag  0.4593  0.5407  0.7500
Ag  0.4593  0.9186  0.7500
Ag  0.5407  0.0814  0.2500
Ag  0.5407  0.4593  0.2500
Ag  0.5788  0.7894  0.0159
Ag  0.5788  0.7894  0.4841
Ag  0.7894  0.2106  0.5159
Ag  0.7894  0.2106  0.9841
Ag  0.7894  0.5788  0.5159
Ag  0.7894  0.5788  0.9841
Ag  0.9186  0.4593  0.2500
Au  0.0000  0.0000  0.0000
Au  0.0000  0.0000  0.5000
Au  0.1132  0.2265  0.7500
Au  0.1132  0.8868  0.7500
Au  0.2265  0.1132  0.2500
Au  0.7735  0.8868  0.7500
Au  0.8868  0.1132  0.2500
Au  0.8868  0.7735  0.2500

# 4
The following is a DFT calculation (PBE) of crystalline In2Ag2Au5 at its relaxed geometry.

Results
* ΔE_f: -32.8 meV/atom
* total DFT energy (no corrections): -3.096 eV per atom

Unit cell a=8.7041 b=8.7041 c=8.7041 alpha=72.60 beta=129.40 gamma=131.64
Fractional coordinates of all 18 atoms:
In  0.0000  0.0000  0.0000
In  0.0000  0.5000  0.5000
In  0.9274  0.7058  0.7216
In  0.9842  0.2058  0.2784
Ag  0.2800  0.4534  0.1104
Ag  0.2800  0.6696  0.3266
Ag  0.3430  0.1696  0.8896
Ag  0.3430  0.9534  0.6734
Au  0.4406  0.8718  0.0688
Au  0.4524  0.2879  0.4596
Au  0.4524  0.4928  0.6645
Au  0.4793  0.0944  0.2839
Au  0.4793  0.6953  0.8848
Au  0.8030  0.3718  0.9312
Au  0.8105  0.1953  0.7161
Au  0.8105  0.5944  0.1152
Au  0.8283  0.7879  0.3355
Au  0.8283  0.9928  0.5404

# 5
The following is a DFT calculation (PBE) of crystalline InAg2Au7 at its relaxed geometry.

Results
* ΔE_f: 196.2 meV/atom
* total DFT energy (no corrections): -2.942 eV per atom

Unit cell a=7.9395 b=7.9395 c=4.6151 alpha=90.00 beta=90.00 gamma=124.32
Fractional coordinates of all 10 atoms:
In  0.0000  0.0000  0.0000
Ag  0.2932  0.7068  0.5000
Ag  0.7068  0.2932  0.5000
Au  0.0820  0.2902  0.5000
Au  0.1917  0.8083  0.0000
Au  0.2902  0.0820  0.5000
Au  0.5000  0.5000  0.5000
Au  0.7098  0.9180  0.5000
Au  0.8083  0.1917  0.0000
Au  0.9180  0.7098  0.5000

# 6
The following is a DFT calculation (PBE) of crystalline In3Ag8Au2 at its relaxed geometry.

Results
* ΔE_f: 87.4 meV/atom
* total DFT energy (no corrections): -2.803 eV per atom

Unit cell a=10.7823 b=10.7823 c=10.7823 alpha=29.64 beta=29.64 gamma=29.64
Fractional coordinates of all 13 atoms:
In  0.0000  0.0000  0.0000
In  0.1839  0.1839  0.1839
In  0.8161  0.8161  0.8161
Ag  0.2291  0.7291  0.7291
Ag  0.2709  0.2709  0.7709
Ag  0.2709  0.7709  0.2709
Ag  0.2737  0.2737  0.2737
Ag  0.7263  0.7263  0.7263
Ag  0.7291  0.2291  0.7291
Ag  0.7291  0.7291  0.2291
Ag  0.7709  0.2709  0.2709
Au  0.3615  0.3615  0.3615
Au  0.6385  0.6385  0.6385

# 7
The following is a DFT calculation (PBE) of crystalline In2AgAu at its relaxed geometry.

Results
* ΔE_f: -24.5 meV/atom
* total DFT energy (no corrections): -2.926 eV per atom

Unit cell a=7.7598 b=7.7598 c=7.7598 alpha=28.45 beta=28.45 gamma=28.45
Fractional coordinates of all 4 atoms:
In  0.0000  0.0000  0.0000
In  0.1724  0.1724  0.1724
Ag  0.4206  0.4206  0.4206
Au  0.5855  0.5855  0.5855

# 8
The following is a DFT calculation (PBE) of crystalline In2Ag3Au4 at its relaxed geometry.

Results
* ΔE_f: -102.1 meV/atom
* total DFT energy (no corrections): -3.118 eV per atom

Unit cell a=4.2910 b=5.1261 c=8.8674 alpha=73.94 beta=89.62 gamma=65.76
Fractional coordinates of all 9 atoms:
In  0.1699  0.1618  0.2224
In  0.8301  0.8382  0.7776
Ag  0.1661  0.1691  0.5532
Ag  0.5000  0.5000  0.0000
Ag  0.8339  0.8309  0.4468
Au  0.1644  0.1687  0.8885
Au  0.4968  0.5030  0.6650
Au  0.5032  0.4970  0.3350
Au  0.8356  0.8313  0.1115